This record from Alexandria describes crystalline Rb3Zn2O4 at its relaxed geometry. The functional is PBE.

Cell and atoms, written as POSCAR:
```
Rb3Zn2O4
1.0
6.574 -1.815 0.000
6.574 1.815 0.000
-6.565 0.000 7.589
Rb Zn O
3 2 4
Cartesian
0.000 0.000 0.000 Rb
3.779 0.000 1.793 Rb
2.803 0.000 5.796 Rb
-0.542 0.000 4.772 Zn
7.125 0.000 2.817 Zn
-0.606 0.000 2.794 O
-1.750 0.000 6.235 O
8.333 0.000 1.354 O
7.189 0.000 4.795 O
```

Properties
N(E_F) ... 8.21 states/eV/cell
VASP energy ... -35.8 eV per cell
Formation energy without anion corrections ... -1164 meV/atom

This record from Alexandria describes crystalline RbNaTl2Rh at its relaxed geometry. The functional is PBE.

Cell and atoms, written as POSCAR:
```
RbNaTl2Rh
1.0
5.341 0.000 0.000
0.000 5.341 0.000
0.000 0.000 6.212
Rb Na Tl Rh
1 1 2 1
Cartesian
0.000 0.000 0.000 Rb
2.671 2.671 0.000 Na
0.000 2.671 3.106 Tl
2.671 0.000 3.106 Tl
0.000 0.000 3.106 Rh
```

Properties
Energy of formation ... 111.6 meV per atom
N(E_F) ... 3.25 states/eV/cell
ΔE to the lowest computed polymorph ... 0.1710 eV per atom
VASP energy ... -13.8 eV per cell

This record from Alexandria describes crystalline Pm4Ge2O at its relaxed geometry. The functional is PBE.

Cell and atoms, written as POSCAR:
```
Pm4Ge2O
1.0
4.655 0.000 0.000
0.000 4.655 0.000
0.000 0.000 16.158
Pm Ge O
8 4 2
Cartesian
0.000 0.000 2.871 Pm
0.000 0.000 13.287 Pm
0.000 2.328 0.000 Pm
0.000 2.328 8.079 Pm
2.328 0.000 0.000 Pm
2.328 0.000 8.079 Pm
2.328 2.328 5.208 Pm
2.328 2.328 10.950 Pm
0.000 0.000 5.871 Ge
0.000 0.000 10.286 Ge
2.328 2.328 2.208 Ge
2.328 2.328 13.950 Ge
0.000 0.000 0.000 O
2.328 2.328 8.079 O
```

Properties
N(E_F) ... 14.27 states/eV/cell
ΔE to the lowest computed polymorph ... 0.0000 eV per atom
VASP energy ... -84.2 eV per cell
Formation energy without anion corrections ... -1269 meV/atom